# La2Mn2Cd | the Alexandria database | PBE | relaxed
# E_form in meV/atom: 243.4
# Space group: I4/mmm, No. 139
data_La2Mn2Cd
_symmetry_space_group_name_H-M 'P 1'
_symmetry_Int_Tables_number 1
_cell_length_a 10.5531
_cell_length_b 10.5531
_cell_length_c 10.5531
_cell_angle_alpha 161.99
_cell_angle_beta 161.99
_cell_angle_gamma 25.58
loop_
_symmetry_equiv_pos_as_xyz
'x,y,z'
loop_
_atom_site_label
_atom_site_fract_x
_atom_site_fract_y
_atom_site_fract_z
Cd1 0.0000 0.0000 0.0000
Mn1 0.7500 0.2500 0.5000
Mn2 0.2500 0.7500 0.5000
La1 0.3750 0.3750 0.0000
La2 0.6250 0.6250 0.0000


# LaMnCd3 | the Alexandria database | PBE | relaxed
# Energy above the most stable polymorph in this dataset in eV/atom: 0.880
# E_form in meV/atom: 1169.9
# Space group: Pm-3m, No. 221
data_LaMnCd3
_symmetry_space_group_name_H-M 'P 1'
_symmetry_Int_Tables_number 1
_cell_length_a 6.0684
_cell_length_b 6.0684
_cell_length_c 6.0684
_cell_angle_alpha 90.00
_cell_angle_beta 90.00
_cell_angle_gamma 90.00
loop_
_symmetry_equiv_pos_as_xyz
'x,y,z'
loop_
_atom_site_label
_atom_site_fract_x
_atom_site_fract_y
_atom_site_fract_z
Cd1 0.0000 0.0000 0.5000
Cd2 0.5000 0.0000 0.0000
Cd3 0.0000 0.5000 0.0000
Mn1 0.5000 0.5000 0.5000
La1 0.0000 0.0000 0.0000


# La3MnCd | the Alexandria database | PBE | relaxed
# E_form in meV/atom: 3.7
# Space group: Pm-3m, No. 221
data_La3MnCd
_symmetry_space_group_name_H-M 'P 1'
_symmetry_Int_Tables_number 1
_cell_length_a 5.2860
_cell_length_b 5.2860
_cell_length_c 5.2860
_cell_angle_alpha 90.00
_cell_angle_beta 90.00
_cell_angle_gamma 90.00
loop_
_symmetry_equiv_pos_as_xyz
'x,y,z'
loop_
_atom_site_label
_atom_site_fract_x
_atom_site_fract_y
_atom_site_fract_z
Cd1 0.5000 0.5000 0.5000
La1 0.0000 0.0000 0.5000
La2 0.5000 0.0000 0.0000
La3 0.0000 0.5000 0.0000
Mn1 0.0000 0.0000 0.0000


# LaMn4Cd | the Alexandria database | PBE | relaxed
# E_form in meV/atom: 317.9
# Space group: F-43m, No. 216
data_LaMn4Cd
_symmetry_space_group_name_H-M 'P 1'
_symmetry_Int_Tables_number 1
_cell_length_a 5.2776
_cell_length_b 5.2776
_cell_length_c 5.2776
_cell_angle_alpha 60.00
_cell_angle_beta 60.00
_cell_angle_gamma 60.00
loop_
_symmetry_equiv_pos_as_xyz
'x,y,z'
loop_
_atom_site_label
_atom_site_fract_x
_atom_site_fract_y
_atom_site_fract_z
Mn1 0.8722 0.3759 0.3759
Mn2 0.3759 0.3759 0.8722
Mn3 0.3759 0.3759 0.3759
Mn4 0.3759 0.8722 0.3759
La1 0.0000 0.0000 0.0000
Cd1 0.7500 0.7500 0.7500


# La2MnNbCd | the Alexandria database | PBE | relaxed
# E_form in meV/atom: 700.5
# Space group: P4/mmm, No. 123
data_La2MnNbCd
_symmetry_space_group_name_H-M 'P 1'
_symmetry_Int_Tables_number 1
_cell_length_a 5.1270
_cell_length_b 5.1520
_cell_length_c 5.1270
_cell_angle_alpha 90.00
_cell_angle_beta 90.00
_cell_angle_gamma 90.00
loop_
_symmetry_equiv_pos_as_xyz
'x,y,z'
loop_
_atom_site_label
_atom_site_fract_x
_atom_site_fract_y
_atom_site_fract_z
Nb1 0.5000 0.5000 0.5000
Cd1 0.0000 0.5000 0.0000
Mn1 0.0000 0.0000 0.0000
La1 0.0000 0.0000 0.5000
La2 0.5000 0.0000 0.0000


# LaNdMnCd | the Alexandria database | PBE | relaxed
# E_form in meV/atom: 16.3
# Space group: F-43m, No. 216
data_LaNdMnCd
_symmetry_space_group_name_H-M 'P 1'
_symmetry_Int_Tables_number 1
_cell_length_a 5.3897
_cell_length_b 5.3897
_cell_length_c 5.3897
_cell_angle_alpha 60.00
_cell_angle_beta 60.00
_cell_angle_gamma 60.00
loop_
_symmetry_equiv_pos_as_xyz
'x,y,z'
loop_
_atom_site_label
_atom_site_fract_x
_atom_site_fract_y
_atom_site_fract_z
Cd1 0.7500 0.7500 0.7500
Nd1 0.5000 0.5000 0.5000
La1 0.0000 0.0000 0.0000
Mn1 0.2500 0.2500 0.2500


> Number 6 is which compound?

LaNdMnCd


> Which of these has the lowest E_form?

La3MnCd


What did the second record say?
# LaMnCd3 | the Alexandria database | PBE | relaxed
# Energy above the most stable polymorph in this dataset in eV/atom: 0.880
# E_form in meV/atom: 1169.9
# Space group: Pm-3m, No. 221
data_LaMnCd3
_symmetry_space_group_name_H-M 'P 1'
_symmetry_Int_Tables_number 1
_cell_length_a 6.0684
_cell_length_b 6.0684
_cell_length_c 6.0684
_cell_angle_alpha 90.00
_cell_angle_beta 90.00
_cell_angle_gamma 90.00
loop_
_symmetry_equiv_pos_as_xyz
'x,y,z'
loop_
_atom_site_label
_atom_site_fract_x
_atom_site_fract_y
_atom_site_fract_z
Cd1 0.0000 0.0000 0.5000
Cd2 0.5000 0.0000 0.0000
Cd3 0.0000 0.5000 0.0000
Mn1 0.5000 0.5000 0.5000
La1 0.0000 0.0000 0.0000


> Number 4 is which compound?

LaMn4Cd